DFT (PBE) results for a geometry-optimized La7Pm12Ho structure.

Unit cell a=10.0332 b=10.0332 c=10.0332 alpha=109.47 beta=109.47 gamma=109.47
With the nearest neighbours (Å) after each atom.
Atoms (fractional coordinates):
La 0.5000 0.5000 0.0000  12 Pm 4.08-4.16
La 0.0000 0.5000 0.5000  12 Pm 4.08-4.16
La 0.5000 0.0000 0.5000  12 Pm 4.08-4.16
La 0.5000 0.5000 0.5000  6 Pm 2.90
La 0.0000 0.0000 0.5000  6 Pm 2.90
La 0.5000 0.0000 0.0000  6 Pm 2.90
La 0.0000 0.5000 0.0000  6 Pm 2.90
Pm 0.5072 0.7528 0.7544  2 La 2.90
Pm 0.9984 0.7528 0.2456  2 La 2.90
Pm 0.4928 0.2472 0.2456  2 La 2.90
Pm 0.0016 0.2472 0.7544  2 La 2.90
Pm 0.7544 0.0016 0.2472  2 La 2.90
Pm 0.7544 0.5072 0.7528  2 La 2.90
Pm 0.2456 0.9984 0.7528  2 La 2.90
Pm 0.2456 0.4928 0.2472  2 La 2.90
Pm 0.7528 0.7544 0.5072  2 La 2.90
Pm 0.2472 0.2456 0.4928  2 La 2.90
Pm 0.7528 0.2456 0.9984  2 La 2.90
Pm 0.2472 0.7544 0.0016  2 La 2.90
Ho 0.0000 0.0000 0.0000  12 Pm 4.04

Energy of formation from the pure elements   0.5674 eV per atom
Energy   -4.236 eV per atom
Density   6.15 g cm⁻³
Space-group type   Im-3 (204)
Spin magnetization   0.1 μB/f.u.
Relative energy among the computed polymorphs   357 meV/atom

***

DFT (PBE) results for a geometry-optimized CuSb2I structure.

Unit cell a=6.6725 b=6.6725 c=7.7599 alpha=64.54 beta=64.54 gamma=90.00
With the nearest neighbours (Å) after each atom.
Atoms (fractional coordinates):
I 0.0000 0.0000 0.0000  4 Sb 3.25
I 0.7500 0.2500 0.5000  4 Sb 3.25
Sb 0.5274 0.1250 0.2500  2 Cu 2.49
Sb 0.2226 0.6250 0.2500  2 Cu 2.49
Sb 0.3750 0.4726 0.7500  2 Cu 2.49
Sb 0.8750 0.7774 0.7500  2 Cu 2.49
Cu 0.5000 0.5000 0.0000  4 Sb 2.49
Cu 0.2500 0.7500 0.5000  4 Sb 2.49

Energy   -3.110 eV per atom
Density   5.25 g cm⁻³
Space-group type   I-42d (122)
ΔE_f (raw)   0.36 eV/atom
Spin magnetization   0.0 μB/f.u.
Relative energy among the computed polymorphs   0 meV/atom

***

DFT (PBE) results for a geometry-optimized PmGa6Pt6 structure.

Unit cell a=5.2582 b=6.9345 c=6.9345 alpha=76.78 beta=67.72 gamma=67.72
With the nearest neighbours (Å) after each atom.
Atoms (fractional coordinates):
Pm 0.0000 0.0000 0.0000  6 Pt 2.91-3.15
Ga 0.0000 0.5000 0.0000  6 Pt 2.61-2.82, 4 Ga 2.63-2.72
Ga 0.5000 0.5000 0.0000  6 Pt 2.61-2.82, 4 Ga 2.63-2.72
Ga 0.0000 0.0000 0.5000  6 Pt 2.61-2.82, 4 Ga 2.63-2.72
Ga 0.5000 0.0000 0.5000  6 Pt 2.61-2.82, 4 Ga 2.63-2.72
Ga 0.5000 0.7609 0.2391  6 Pt 2.69-2.76, 4 Ga 2.72
Ga 0.5000 0.2391 0.7609  6 Pt 2.69-2.76, 4 Ga 2.72
Pt 0.3439 0.6561 0.6561  6 Ga 2.68-2.69, 1 Pt 2.97
Pt 0.6561 0.3439 0.3439  6 Ga 2.68-2.69, 1 Pt 2.97
Pt 0.0000 0.3376 0.6624  6 Ga 2.76-2.82, 1 Pt 2.80, 1 Pm 2.91
Pt 0.0000 0.6624 0.3376  6 Ga 2.76-2.82, 1 Pt 2.80, 1 Pm 2.91
Pt 0.3185 0.1815 0.1815  6 Ga 2.61-2.69
Pt 0.6815 0.8185 0.8185  6 Ga 2.61-2.69

Energy of formation from the pure elements   -0.5951 eV per atom
Energy   -5.146 eV per atom
Density   13.36 g cm⁻³
Space-group type   Immm (71)
Spin magnetization   0.0 μB/f.u.

***

DFT (PBE) results for a geometry-optimized SrPrSm2As4 structure.

Unit cell a=4.2854 b=7.4731 c=7.4470 alpha=70.66 beta=90.00 gamma=90.00
With the nearest neighbours (Å) after each atom.
Atoms (fractional coordinates):
Sr 0.5000 0.5000 0.0000  6 As 3.11-3.12
Pr 0.0000 0.5000 0.5000  6 As 3.06-3.07
Sm 0.0000 0.0000 0.0000  6 As 3.02
Sm 0.5000 0.0000 0.5000  6 As 2.96-2.98
As 0.0000 0.7644 0.7394  3 Sm 2.96-3.02, 1 Pr 3.07, 2 Sr 3.12
As 0.0000 0.2356 0.2606  3 Sm 2.96-3.02, 1 Pr 3.07, 2 Sr 3.12
As 0.5000 0.7593 0.2516  3 Sm 2.98-3.02, 2 Pr 3.07, 1 Sr 3.11
As 0.5000 0.2407 0.7484  3 Sm 2.98-3.02, 2 Pr 3.06, 1 Sr 3.11

Energy of formation from the pure elements   -1.3446 eV per atom
Energy   -5.657 eV per atom
Density   6.12 g cm⁻³
Space-group type   P2/m (10)
Spin magnetization   0.0 μB/f.u.

***

DFT (PBE) results for a geometry-optimized AcYEr2Se6 structure.

Unit cell a=7.3538 b=7.3539 c=7.7408 alpha=61.64 beta=61.64 gamma=60.00
With the nearest neighbours (Å) after each atom.
Atoms (fractional coordinates):
Ac 0.8035 0.8035 0.5895  6 Se 3.06-3.20
Y 0.3176 0.3176 0.0473  6 Se 2.89-2.91
Er 0.5170 0.5169 0.4492  6 Se 2.83-2.87
Er 0.0098 0.0099 0.9705  6 Se 2.80-2.88
Se 0.6151 0.2333 0.2425  2 Er 2.83-2.88, 1 Y 2.89
Se 0.2333 0.9091 0.2426  2 Er 2.83-2.88, 1 Y 2.89
Se 0.9091 0.6151 0.2426  2 Er 2.83-2.88, 1 Y 2.89
Se 0.3695 0.7322 0.7437  2 Er 2.80-2.87, 1 Y 2.91, 1 Ac 3.06
Se 0.7322 0.1545 0.7437  2 Er 2.80-2.87, 1 Y 2.91, 1 Ac 3.06
Se 0.1546 0.3696 0.7437  2 Er 2.80-2.87, 1 Y 2.91, 1 Ac 3.06

Energy   -5.939 eV per atom
Density   6.16 g cm⁻³
Space-group type   R3 (146)
ΔE_f (raw)   -1.88 eV/atom
Spin magnetization   0.0 μB/f.u.

***

DFT (PBE) results for a geometry-optimized SrLa2Ni structure.

Unit cell a=6.5012 b=6.5012 c=6.5012 alpha=138.37 beta=138.37 gamma=60.34
With the nearest neighbours (Å) after each atom.
Atoms (fractional coordinates):
La 0.0000 0.0000 0.0000  4 Ni 3.27, 4 La 3.64, 4 Sr 3.64
La 0.2500 0.7500 0.5000  4 Sr 3.27, 4 Ni 3.64, 4 La 3.64
Ni 0.5000 0.5000 0.0000  8 La 3.27-3.64, 4 Sr 3.64
Sr 0.7500 0.2500 0.5000  8 La 3.27-3.64, 4 Ni 3.64

Energy of formation from the pure elements   0.3413 eV per atom
Energy   -3.988 eV per atom
Density   5.87 g cm⁻³
Space-group type   I-4m2 (119)
Spin magnetization   0.0 μB/f.u.
Relative energy among the computed polymorphs   449 meV/atom

***

DFT (PBE) results for a geometry-optimized Sr2AsIr structure.

Unit cell a=3.5855 b=3.5855 c=8.8458 alpha=90.00 beta=90.00 gamma=90.07
With the nearest neighbours (Å) after each atom.
Atoms (fractional coordinates):
Sr 0.0000 0.0000 0.9226  1 As 3.03, 4 Ir 3.39
Sr 0.5000 0.5000 0.3304  1 Ir 2.98
As 0.0000 0.0000 0.5796  4 Ir 2.65
Ir 0.5000 0.5000 0.6675  4 As 2.65

Energy of formation from the pure elements   -0.1720 eV per atom
Energy   -4.391 eV per atom
Density   6.46 g cm⁻³
Space-group type   P4mm (99)
Spin magnetization   0.0 μB/f.u.

***

DFT (PBE) results for a geometry-optimized MoIrAu2 structure.

Unit cell a=7.4302 b=7.4302 c=5.8779 alpha=50.80 beta=50.80 gamma=90.00
With the nearest neighbours (Å) after each atom.
Atoms (fractional coordinates):
Mo 0.5000 0.5000 0.0000  2 Ir 2.64, 4 Au 2.71
Mo 0.2500 0.7500 0.5000  2 Ir 2.64, 4 Au 2.71
Ir 0.0000 0.0000 0.0000  2 Mo 2.64, 4 Au 2.70
Ir 0.7500 0.2500 0.5000  2 Mo 2.64, 4 Au 2.70
Au 0.6262 0.1250 0.2500  2 Au 2.64, 2 Ir 2.70, 2 Mo 2.71
Au 0.1238 0.6250 0.2500  2 Au 2.64, 2 Ir 2.70, 2 Mo 2.71
Au 0.3750 0.3738 0.7500  2 Au 2.64, 2 Ir 2.70, 2 Mo 2.71
Au 0.8750 0.8762 0.7500  2 Au 2.64, 2 Ir 2.70, 2 Mo 2.71

Energy of formation from the pure elements   0.8372 eV per atom
Energy   -5.725 eV per atom
Density   15.57 g cm⁻³
Space-group type   I-42d (122)
Spin magnetization   1.0 μB/f.u.
Relative energy among the computed polymorphs   825 meV/atom